DFT (PBEsol) results for an optimized crystal structure of SiRuW3.

Results
Density: 13413 kg/m3
Uncorrected energy: -9.974 eV per atom
Formation energy from raw total energies: 7.5 eV per formula unit

abc: 4.3842 4.3842 4.3842
angles: 90.00 90.00 90.00
Closest atoms and distances in Å follow each position.
Element x y z (fractional)
W 0.0000 0.5000 0.0000  2 Si 2.19
W 0.0000 0.0000 0.5000  2 Si 2.19
W 0.5000 0.0000 0.0000  2 Si 2.19
Ru 0.5000 0.5000 0.5000  12 W 3.10
Si 0.0000 0.0000 0.0000  6 W 2.19


DFT (PBEsol) results for an optimized crystal structure of CaAg4.

Results
Energy of formation: 0.716 eV per atom
Density: 6330 kg/m3
Uncorrected energy: -2.360 eV per atom

abc: 5.4366 5.4366 5.4366
angles: 109.47 109.47 109.47
Closest atoms and distances in Å follow each position.
Element x y z (fractional)
Ag 0.0000 0.0000 0.5000  2 Ca 2.72
Ag 0.5000 0.5000 0.5000  2 Ca 2.72
Ag 0.0000 0.5000 0.0000  2 Ca 2.72
Ag 0.5000 0.0000 0.0000  2 Ca 2.72
Ca 0.0000 0.0000 0.0000  8 Ag 2.72


DFT (PBEsol) results for an optimized crystal structure of Zn2HgN.

Results
Density: 8363 kg/m3
Uncorrected energy: -2.940 eV per atom
Formation energy from raw total energies: 0.5 eV per formula unit

abc: 5.7450 5.8115 5.7450
angles: 60.38 90.00 119.62
Closest atoms and distances in Å follow each position.
Element x y z (fractional)
Zn 0.2546 0.7500 0.8750  2 N 1.90
Zn 0.4954 0.7500 0.3750  2 N 1.90
Zn 0.3750 0.2500 0.2546  2 N 1.90
Zn 0.8750 0.2500 0.4954  2 N 1.90
N 0.2500 0.5000 0.2500  4 Zn 1.90
N 0.5000 0.0000 0.5000  4 Zn 1.90
Hg 0.0000 0.0000 0.0000  4 Zn 2.81
Hg 0.7500 0.5000 0.7500  4 Zn 2.81


> The highest uncorrected energy belongs to which entry?

CaAg4